Density functional theory data (PBE) for a relaxed LaSc2Sb crystal.

Cell lengths 10.616, 10.616, 10.616 Å; angles 20.06, 20.06, 20.06 degrees
Atoms (fractional coordinates):
Sc (0.894, 0.894, 0.894)
Sc (0.106, 0.106, 0.106)
Sb (0.500, 0.500, 0.500)
La (0.000, 0.000, 0.000)

total magnetization: 0.00 μB per formula unit
uncorrected formation energy: -0.2 eV/f.u.
calculated total energy: -5.47 eV/atom
mass density: 4.728 Mg/m³
space group: R-3m, No. 166